Record 1
Entry from Alexandria via LeMat-Bulk: crystalline CeY5Ir6 at its relaxed geometry (PBE).

## Properties
E_form (meV/atom): -769
SG: Cmmm (65)

Unit cell a=7.589 b=7.589 c=7.112 alpha=90.00 beta=90.00 gamma=143.05
Fractional coordinates of all 12 atoms:
Ce: 0.000 0.000 0.000
Y: 0.000 0.000 0.500
Y: 0.331 0.669 0.000
Y: 0.333 0.667 0.500
Y: 0.667 0.333 0.500
Y: 0.669 0.331 0.000
Ir: 0.164 0.836 0.248
Ir: 0.164 0.836 0.752
Ir: 0.500 0.500 0.246
Ir: 0.500 0.500 0.754
Ir: 0.836 0.164 0.248
Ir: 0.836 0.164 0.752

---

Record 2
Entry from Alexandria via LeMat-Bulk: crystalline Ce2YIr at its relaxed geometry (PBE).

## Properties
E_form (meV/atom): -264
SG: R-3m (166)

Unit cell a=9.334 b=9.334 c=9.334 alpha=23.91 beta=23.91 gamma=23.91
Fractional coordinates of all 4 atoms:
Ce: 0.228 0.228 0.228
Ce: 0.772 0.772 0.772
Y: 0.000 0.000 0.000
Ir: 0.500 0.500 0.500

---

Record 3
Entry from Alexandria via LeMat-Bulk: crystalline CeY3Ir8 at its relaxed geometry (PBE).

## Properties
E_form (meV/atom): -788
SG: R3m (160)

Unit cell a=9.307 b=9.307 c=9.307 alpha=33.60 beta=33.60 gamma=33.60
Fractional coordinates of all 12 atoms:
Ce: 0.000 0.000 0.000
Y: 0.125 0.125 0.125
Y: 0.499 0.499 0.499
Y: 0.624 0.624 0.624
Ir: 0.061 0.563 0.563
Ir: 0.062 0.062 0.563
Ir: 0.062 0.563 0.062
Ir: 0.312 0.312 0.312
Ir: 0.563 0.061 0.563
Ir: 0.563 0.062 0.062
Ir: 0.563 0.563 0.061
Ir: 0.812 0.812 0.812

---

Record 4
Entry from Alexandria via LeMat-Bulk: crystalline Ce2YIr at its relaxed geometry (PBE).

## Properties
E_form (meV/atom): -439
SG: Pnma (62)

Unit cell a=14.282 b=9.972 c=5.964 alpha=90.00 beta=90.00 gamma=90.00
Fractional coordinates of all 32 atoms:
Ce: 0.037 0.056 0.248
Ce: 0.037 0.444 0.248
Ce: 0.213 0.561 0.940
Ce: 0.213 0.939 0.940
Ce: 0.287 0.061 0.440
Ce: 0.287 0.439 0.440
Ce: 0.463 0.556 0.748
Ce: 0.463 0.944 0.748
Ce: 0.537 0.056 0.252
Ce: 0.537 0.444 0.252
Ce: 0.713 0.561 0.560
Ce: 0.713 0.939 0.560
Ce: 0.787 0.061 0.060
Ce: 0.787 0.439 0.060
Ce: 0.963 0.556 0.752
Ce: 0.963 0.944 0.752
Y: 0.105 0.250 0.742
Y: 0.143 0.750 0.456
Y: 0.357 0.250 0.956
Y: 0.395 0.750 0.242
Y: 0.605 0.250 0.758
Y: 0.643 0.750 0.044
Y: 0.857 0.250 0.544
Y: 0.895 0.750 0.258
Ir: 0.069 0.750 0.982
Ir: 0.177 0.250 0.228
Ir: 0.323 0.750 0.728
Ir: 0.431 0.250 0.482
Ir: 0.569 0.750 0.518
Ir: 0.677 0.250 0.272
Ir: 0.823 0.750 0.772
Ir: 0.931 0.250 0.018